This record from Alexandria describes LaSiRu2C after structural relaxation. The functional is PBE.

Properties
DOS at the Fermi energy (states/eV per cell): 8.26
Space group: Cmcm
Formation energy (no corrections) (eV per atom): -0.552

abc: 5.9440 5.9440 7.2399
angles: 90.00 90.00 140.53
Closest atoms and distances in Å follow each position.
Positions (direct):
La1 0.0520 0.9480 0.7500  4 C 2.76
La2 0.9480 0.0520 0.2500  4 C 2.76
Si1 0.2277 0.7723 0.2500  6 Ru 2.54
Si2 0.7723 0.2277 0.7500  6 Ru 2.54
Ru1 0.3353 0.6647 0.5586  1 C 1.89
Ru2 0.3353 0.6647 0.9414  1 C 1.89
Ru3 0.6647 0.3353 0.0586  1 C 1.89
Ru4 0.6647 0.3353 0.4414  1 C 1.89
C1 0.5000 0.5000 0.0000  2 Ru 1.89
C2 0.5000 0.5000 0.5000  2 Ru 1.89

---

This record from Alexandria describes Mg2RuF after structural relaxation. The functional is PBE.

Properties
DOS at the Fermi energy (states/eV per cell): 17.84
Space group: Fm-3m
Formation energy (no corrections) (eV per atom): -0.219
Distance to the lowest polymorph of the same formula (meV per atom): 476

abc: 6.3896 6.3896 6.3896
angles: 90.00 90.00 90.00
Closest atoms and distances in Å follow each position.
Positions (direct):
Mg1 0.2500 0.2500 0.2500  4 F 2.77, 4 Ru 2.77
Mg2 0.2500 0.2500 0.7500  4 F 2.77, 4 Ru 2.77
Mg3 0.2500 0.7500 0.2500  4 F 2.77, 4 Ru 2.77
Mg4 0.2500 0.7500 0.7500  4 F 2.77, 4 Ru 2.77
Mg5 0.7500 0.2500 0.2500  4 F 2.77, 4 Ru 2.77
Mg6 0.7500 0.2500 0.7500  4 F 2.77, 4 Ru 2.77
Mg7 0.7500 0.7500 0.2500  4 F 2.77, 4 Ru 2.77
Mg8 0.7500 0.7500 0.7500  4 F 2.77, 4 Ru 2.77
Ru1 0.0000 0.0000 0.0000  8 Mg 2.77
Ru2 0.0000 0.5000 0.5000  8 Mg 2.77
Ru3 0.5000 0.0000 0.5000  8 Mg 2.77
Ru4 0.5000 0.5000 0.0000  8 Mg 2.77
F1 0.0000 0.0000 0.5000  8 Mg 2.77
F2 0.0000 0.5000 0.0000  8 Mg 2.77
F3 0.5000 0.0000 0.0000  8 Mg 2.77
F4 0.5000 0.5000 0.5000  8 Mg 2.77

---

This record from Alexandria describes DyNi2H6 after structural relaxation. The functional is PBE.

Properties
VASP energy (eV per atom): -4.4104
DOS at the Fermi energy (states/eV per cell): 1.11
Space group: P6/mmm

abc: 4.3660 4.3660 4.1049
angles: 90.00 90.00 120.00
Closest atoms and distances in Å follow each position.
Positions (direct):
Dy1 0.0000 0.0000 0.0000  12 H 2.40
Ni1 0.3333 0.6667 0.5000  6 H 1.64
Ni2 0.6667 0.3333 0.5000  6 H 1.64
H1 0.0000 0.5000 0.2453  2 Ni 1.64
H2 0.0000 0.5000 0.7547  2 Ni 1.64
H3 0.5000 0.0000 0.2453  2 Ni 1.64
H4 0.5000 0.0000 0.7547  2 Ni 1.64
H5 0.5000 0.5000 0.2453  2 Ni 1.64
H6 0.5000 0.5000 0.7547  2 Ni 1.64

---

This record from Alexandria describes CuS2O after structural relaxation. The functional is PBE.

Properties
DOS at the Fermi energy (states/eV per cell): 9.97
Space group: R-3m
Formation energy (no corrections) (eV per atom): 0.072

abc: 3.6387 3.6387 17.2367
angles: 90.00 90.00 120.00
Closest atoms and distances in Å follow each position.
Positions (direct):
Cu1 0.0000 0.0000 0.0000  6 S 2.40
Cu2 0.3333 0.6667 0.6667  6 S 2.40
Cu3 0.6667 0.3333 0.3333  6 S 2.40
S1 0.0000 0.0000 0.4010  1 O 1.71
S2 0.0000 0.0000 0.5990  1 O 1.71
S3 0.3333 0.6667 0.0677  1 O 1.71
S4 0.3333 0.6667 0.2656  1 O 1.71
S5 0.6667 0.3333 0.7344  1 O 1.71
S6 0.6667 0.3333 0.9323  1 O 1.71
O1 0.0000 0.0000 0.5000  2 S 1.71
O2 0.3333 0.6667 0.1667  2 S 1.71
O3 0.6667 0.3333 0.8333  2 S 1.71